1:
AlTlTc2Cl | the Alexandria database | PBE-GGA | optimized geometry; crystal system = tetragonal; size of the total moment = 0.99 μB per formula unit; density of states at the Fermi level = 4.27 states/eV/f.u.
1.0
4.476 0.000 0.000
0.000 4.476 0.000
0.000 0.000 4.650
Al Tl Tc Cl
1 1 2 1
direct
0.000 0.000 0.000 Al
0.500 0.500 0.000 Tl
0.000 0.500 0.500 Tc
0.500 0.000 0.500 Tc
0.000 0.000 0.500 Cl


2:
AlTlTc2Cl | the Alexandria database | PBE-GGA | optimized geometry; crystal system = tetragonal; size of the total moment = 2.76 μB per formula unit; density of states at the Fermi level = 4.45 states/eV/f.u.
1.0
4.430 0.000 0.000
0.000 4.430 0.000
0.000 0.000 5.565
Al Tl Tc Cl
1 1 2 1
direct
0.000 0.000 0.000 Al
0.500 0.500 0.000 Tl
0.000 0.500 0.500 Tc
0.500 0.000 0.500 Tc
0.500 0.500 0.500 Cl


Referenced to the most stable arrangement, the calculated values in meV/atom are 1 0; 2 129.


1:
AlTe3Cl | the Alexandria database | PBE-GGA | optimized geometry; crystal system = cubic; size of the total moment = 0.00 μB per formula unit; density of states at the Fermi level = 5.92 states/eV/f.u.
1.0
5.312 0.000 0.000
0.000 5.312 0.000
0.000 0.000 5.312
Al Te Cl
1 3 1
direct
0.000 0.000 0.000 Al
0.000 0.000 0.500 Te
0.000 0.500 0.000 Te
0.500 0.000 0.000 Te
0.500 0.500 0.500 Cl


2:
AlTe3Cl | the Alexandria database | PBE-GGA | optimized geometry; crystal system = cubic; size of the total moment = 0.00 μB per formula unit; density of states at the Fermi level = 3.44 states/eV/f.u.
1.0
5.438 0.000 0.000
0.000 5.438 0.000
0.000 0.000 5.438
Al Te Cl
1 3 1
direct
0.000 0.000 0.000 Al
0.000 0.500 0.500 Te
0.500 0.000 0.500 Te
0.500 0.500 0.000 Te
0.500 0.500 0.500 Cl


Referenced to the most stable arrangement, the calculated values in meV/atom are 1 0; 2 458.


1:
Al3TeCl | the Alexandria database | PBE-GGA | optimized geometry; crystal system = cubic; size of the total moment = 0.00 μB per formula unit; density of states at the Fermi level = 2.90 states/eV/f.u.
1.0
5.740 0.000 0.000
0.000 5.740 0.000
0.000 0.000 5.740
Al Te Cl
3 1 1
direct
0.000 0.000 0.500 Al
0.000 0.500 0.000 Al
0.500 0.000 0.000 Al
0.000 0.000 0.000 Te
0.500 0.500 0.500 Cl


2:
Al3TeCl | the Alexandria database | PBE-GGA | optimized geometry; crystal system = cubic; size of the total moment = 0.00 μB per formula unit; density of states at the Fermi level = 0.74 states/eV/f.u.
1.0
5.263 0.000 0.000
0.000 5.263 0.000
0.000 0.000 5.263
Al Te Cl
3 1 1
direct
0.000 0.000 0.500 Al
0.000 0.500 0.000 Al
0.500 0.000 0.000 Al
0.500 0.500 0.500 Te
0.000 0.000 0.000 Cl


Referenced to the most stable arrangement, the calculated values in meV/atom are 1 232; 2 0.


1:
TiAl2Cl | the Alexandria database | PBE-GGA | optimized geometry; crystal system = tetragonal; size of the total moment = 0.00 μB per formula unit; density of states at the Fermi level = 4.53 states/eV/f.u.
1.0
-3.738 3.738 2.693
3.738 -3.738 2.693
3.738 3.738 -2.693
Ti Al Cl
2 4 2
direct
0.000 0.000 0.000 Ti
0.750 0.250 0.500 Ti
0.130 0.625 0.005 Al
0.375 0.380 0.505 Al
0.620 0.125 0.995 Al
0.875 0.870 0.495 Al
0.250 0.750 0.500 Cl
0.500 0.500 0.000 Cl


2:
TiAl2Cl | the Alexandria database | PBE-GGA | optimized geometry; crystal system = cubic; size of the total moment = 0.00 μB per formula unit; density of states at the Fermi level = 3.71 states/eV/f.u.
1.0
0.000 3.382 3.382
3.382 0.000 3.382
3.382 3.382 0.000
Ti Al Cl
1 2 1
direct
0.000 0.000 0.000 Ti
0.250 0.250 0.250 Al
0.750 0.750 0.750 Al
0.500 0.500 0.500 Cl


Referenced to the most stable arrangement, the calculated values in meV/atom are 1 0; 2 190.


1:
Ti2AlCl | the Alexandria database | PBE-GGA | optimized geometry; crystal system = tetragonal; size of the total moment = 0.00 μB per formula unit; density of states at the Fermi level = 3.34 states/eV/f.u.
1.0
-1.958 1.958 9.510
1.958 -1.958 9.510
1.958 1.958 -9.510
Ti Al Cl
4 2 2
direct
0.123 0.625 0.998 Ti
0.375 0.373 0.498 Ti
0.627 0.125 0.002 Ti
0.875 0.877 0.502 Ti
0.000 0.000 0.000 Al
0.750 0.250 0.500 Al
0.250 0.750 0.500 Cl
0.500 0.500 0.000 Cl


2:
Ti2AlCl | the Alexandria database | PBE-GGA | optimized geometry; crystal system = cubic; size of the total moment = 1.71 μB per formula unit; density of states at the Fermi level = 3.06 states/eV/f.u.
1.0
0.000 3.259 3.259
3.259 0.000 3.259
3.259 3.259 0.000
Ti Al Cl
2 1 1
direct
0.250 0.250 0.250 Ti
0.750 0.750 0.750 Ti
0.000 0.000 0.000 Al
0.500 0.500 0.500 Cl


Referenced to the most stable arrangement, the calculated values in meV/atom are 1 124; 2 0.


1:
AlTl2Cl | the Alexandria database | PBE-GGA | optimized geometry; crystal system = orthorhombic; size of the total moment = 0.00 μB per formula unit; density of states at the Fermi level = 1.89 states/eV/f.u.
1.0
-1.689 2.878 5.536
1.689 -2.878 5.536
1.689 2.878 -5.536
Al Tl Cl
1 2 1
direct
0.000 0.000 0.000 Al
0.485 0.485 0.000 Tl
0.766 0.266 0.500 Tl
0.174 0.674 0.500 Cl


2:
AlTl2Cl | the Alexandria database | PBE-GGA | optimized geometry; crystal system = orthorhombic; size of the total moment = 0.00 μB per formula unit; density of states at the Fermi level = 1.30 states/eV/f.u.
1.0
3.602 0.000 0.000
0.000 5.032 0.000
0.000 0.000 6.033
Al Tl Cl
1 2 1
direct
0.000 0.000 0.000 Al
0.000 0.000 0.500 Tl
0.500 0.500 0.000 Tl
0.500 0.500 0.500 Cl


3:
AlTl2Cl | the Alexandria database | PBE-GGA | optimized geometry; crystal system = orthorhombic; size of the total moment = 0.00 μB per formula unit; density of states at the Fermi level = 2.29 states/eV/f.u.
1.0
-1.830 2.748 5.359
1.830 -2.748 5.359
1.830 2.748 -5.359
Al Tl Cl
1 2 1
direct
0.000 0.000 0.000 Al
0.235 0.735 0.500 Tl
0.765 0.265 0.500 Tl
0.500 0.500 0.000 Cl


Referenced to the most stable arrangement, the calculated values in meV/atom are 1 36; 2 0; 3 157.